# 1
Material: TbY3Pt12
Method: DFT, PBE-GGA
State: optimized geometry

Cell: 4.1349 4.1349 16.4645 Å, 90.00 90.00 90.00°
Space group P4/mmm (No. 123)
Asymmetric unit:
Tb (0.0000, 0.0000, 0.0000)
Y (0.0000, 0.0000, 0.2500)
Y (0.0000, 0.0000, 0.5000)
Pt (0.0000, 0.5000, 0.1250)
Pt (0.0000, 0.5000, 0.3751)
Pt (0.5000, 0.5000, 0.0000)
Pt (0.5000, 0.5000, 0.2501)
Pt (0.5000, 0.5000, 0.5000)

Results
Final energy (eV per atom): -7.03

---

# 2
Material: Na3Hg2Bi2
Method: DFT, PBE-GGA
State: optimized geometry

Cell: 5.0110 22.4663 3.4459 Å, 90.00 90.00 90.00°
Space group Cmmm (No. 65)
Asymmetric unit:
Na (0.0000, 0.0000, 0.0000)
Na (0.0000, 0.1543, 0.0000)
Hg (0.0000, 0.2850, 0.5000)
Bi (0.0000, 0.4267, 0.5000)

Results
Final energy (eV per atom): -2.04

---

# 3
Material: Mg2TcOs
Method: DFT, PBE-GGA
State: optimized geometry

Cell: 6.3407 6.3407 6.3407 Å, 90.00 90.00 90.00°
Space group Fm-3m (No. 225)
Asymmetric unit:
Mg (0.2500, 0.2500, 0.2500)
Tc (0.0000, 0.0000, 0.0000)
Os (0.0000, 0.0000, 0.5000)

Results
Final energy (eV per atom): -5.63

---

# 4
Material: AcErTe2S
Method: DFT, PBE-GGA
State: optimized geometry

Cell: 4.5701 4.5701 15.7999 Å, 90.00 90.00 90.00°
Space group P4/nmm (No. 129, origin choice 2)
Asymmetric unit:
Ac (0.2500, 0.2500, 0.1113)
Er (0.2500, 0.2500, 0.6054)
Te (0.2500, 0.2500, 0.4070)
Te (0.2500, 0.2500, 0.7871)
S (0.2500, 0.7500, 0.0000)

Results
Formation energy without anion corrections (eV/atom): -1.55

---

# 5
Material: PrTi2FeN4
Method: DFT, PBE-GGA
State: optimized geometry

Cell: 3.1689 10.7719 10.5722 Å, 90.00 90.00 90.00°
Space group Cmcm (No. 63)
Asymmetric unit:
Pr (0.0000, 0.1012, 0.2500)
Ti (0.0000, 0.3677, 0.0452)
Fe (0.0000, 0.1623, 0.7500)
N (0.0000, 0.0000, 0.0000)
N (0.0000, 0.2660, 0.6095)
N (0.0000, 0.4255, 0.2500)

Results
Formation energy without anion corrections (eV/atom): -1.14

---

# 6
Material: SrCaPdPt
Method: DFT, PBE-GGA
State: optimized geometry

Cell: 4.4745 4.0795 11.0811 Å, 90.00 90.00 90.00°
Space group Amm2 (No. 38)
Asymmetric unit:
Sr (0.0000, 0.0000, 0.0000)
Ca (0.5000, 0.0000, 0.2792)
Pd (0.5000, 0.0000, 0.5709)
Pt (0.0000, 0.0000, 0.7209)

Results
Final energy (eV per atom): -4.46

---

# 7
Material: Co4Pt3
Method: DFT, PBE-GGA
State: optimized geometry

Cell: 5.1496 5.1496 4.4362 Å, 90.00 90.00 120.00°
Space group P6/mmm (No. 191)
Asymmetric unit:
Co (0.0000, 0.0000, 0.2456)
Co (0.3333, 0.6667, 0.0000)
Pt (0.0000, 0.5000, 0.5000)

Results
Final energy (eV per atom): -6.35

---

# 8
Material: RbCuMo
Method: DFT, PBE-GGA
State: optimized geometry

Cell: 4.2894 4.2925 12.2278 Å, 80.85 80.62 60.03°
Space group P-1 (No. 2)
Asymmetric unit:
Rb (0.2343, 0.2477, 0.3045)
Cu (0.0335, 0.0305, 0.8947)
Mo (0.3338, 0.3337, 0.9987)

Results
Final energy (eV per atom): -4.76

---

| no. | M_tot (μB/f.u.) |
| --- | --- |
| 1 | 0.00 |
| 2 | 0.00 |
| 3 | 3.10 |
| 4 | 0.00 |
| 5 | 1.08 |
| 6 | 0.00 |
| 7 | 9.02 |
| 8 | 0.00 |